# La8AgGe3I4

A relaxed structure of La8AgGe3I4 (PBE-GGA, Alexandria via LeMat-Bulk).

Cell and atoms, written as POSCAR:
```
La8AgGe3I4
1.0
4.4945 2.5949 7.6071
-4.4945 2.5949 7.6071
0.0000 -5.1898 7.6071
La Ag Ge I
8 1 3 4
Cartesian
-2.3150 -1.3365 13.0426
0.0000 0.0000 5.3723
0.0000 -2.6731 9.7789
-2.3150 1.3365 9.7789
2.3150 -1.3365 13.0426
0.0000 2.6731 13.0426
0.0000 0.0000 17.4491
2.3150 1.3365 9.7788
0.0000 0.0000 11.4107
-4.4945 0.0000 11.4107
-2.2473 1.2975 3.8036
2.2473 1.2975 3.8036
0.0000 0.0000 0.0000
-2.2473 -1.2975 7.6071
-2.2473 1.2975 15.2143
0.0000 2.5949 7.6071
```

Calculated values
- N(E_F) (states/eV/cell) = 11.470
- crystal system = trigonal
- raw formation energy (eV/atom) = -0.96
- total magnetic moment (μB/cell) = 0.000